This record from Alexandria describes YEr2ThBi5 after structural relaxation. The functional is PBE.

abc: 5.723 5.723 11.930
angles: 90.00 90.00 90.00
Space group P4/mmm (No. 123)
Symmetry-distinct sites (fractional):
Y: 0.000 0.000 0.000
Er: 0.500 0.500 0.265
Th: 0.000 0.000 0.500
Bi: 0.000 0.000 0.241
Bi: 0.000 0.500 0.500
Bi: 0.500 0.500 0.000

Values from the calculation:
crystal system	tetragonal
calculated formation energy	0.255	eV/atom
electronic total energy	-40.12	eV per formula unit

This record from Alexandria describes Y3ErTh2Bi6 after structural relaxation. The functional is PBE.

abc: 7.827 13.579 7.807
angles: 90.00 109.57 90.00
Space group C2/m (No. 12)
Symmetry-distinct sites (fractional):
Y: 0.000 0.000 0.000
Y: 0.000 0.330 0.000
Er: 0.000 0.500 0.500
Th: 0.000 0.165 0.500
Bi: 0.240 0.500 0.242
Bi: 0.247 0.336 0.753

Values from the calculation:
crystal system	monoclinic
calculated formation energy	-0.777	eV/atom
electronic total energy	-71.41	eV per formula unit

This record from Alexandria describes ErTiBi after structural relaxation. The functional is PBE.

abc: 10.748 3.727 7.676
angles: 90.00 110.44 90.00
Space group C2/m (No. 12)
Symmetry-distinct sites (fractional):
Er: 0.166 0.000 0.104
Ti: 0.162 0.000 0.563
Bi: 0.013 0.500 0.734

Values from the calculation:
crystal system	monoclinic
calculated formation energy	-0.217	eV/atom
electronic total energy	-16.99	eV per formula unit

- Which of these has the highest calculated formation energy?
  YEr2ThBi5